[1]
A plane-wave DFT calculation with GGA-PBE was carried out for a relaxed structure of Zr3CuSe.

## Properties
- Relative energy among the computed polymorphs: 0.000 eV per formula unit
- Calculated volume: 24.37 Å³/atom

Cell lengths 4.958, 4.958, 4.958 Å; angles 90.00, 90.00, 90.00 degrees
Fractional positions:
1 Zr 0.000 0.500 0.000
2 Zr 0.500 0.000 0.000
3 Zr 0.000 0.000 0.500
4 Cu 0.500 0.500 0.500
5 Se 0.000 0.000 0.000



[2]
A plane-wave DFT calculation with GGA-PBE was carried out for a relaxed structure of TiFe2Sb8.

## Properties
- Relative energy among the computed polymorphs: 1.026 eV per formula unit
- Calculated volume: 25.53 Å³/atom

Cell lengths 4.831, 8.132, 8.132 Å; angles 61.62, 88.02, 88.02 degrees
Site moments in Bohr magnetons follow the coordinates.
Fractional positions:
1 Sb 0.269 0.641 0.191  -0.01
2 Sb 0.731 0.809 0.359  -0.01
3 Sb 0.723 0.825 0.825  -0.01
4 Sb 0.731 0.359 0.809  -0.01
5 Sb 0.277 0.175 0.175  -0.01
6 Sb 0.199 0.654 0.654  -0.01
7 Sb 0.801 0.346 0.346  -0.01
8 Sb 0.269 0.191 0.641  -0.01
9 Ti 0.000 0.000 0.000  0.05
10 Fe 0.774 0.164 0.164  0.54
11 Fe 0.226 0.836 0.836  0.54